1.
The following is a PBE-GGA calculation of crystalline LaMnAu3 at its relaxed geometry, from the Alexandria database.

Structure (POSCAR):
```
LaMnAu3
1.0
4.962 0.000 0.000
0.000 4.962 0.000
0.000 0.000 4.962
La Mn Au
1 1 3
Direct
0.000 0.000 0.000
0.500 0.500 0.500
0.000 0.500 0.500
0.500 0.000 0.500
0.500 0.500 0.000
```

Summary:
ΔH_f (0 K)	-147	meV/atom
space group	No. 221
relative energy among the computed polymorphs	0.000	eV/atom

2.
The following is a PBE-GGA calculation of crystalline CsCa2CrGe at its relaxed geometry, from the Alexandria database.

Structure (POSCAR):
```
CsCa2CrGe
1.0
5.986 0.000 0.000
0.000 5.986 0.000
0.000 0.000 5.644
Cs Ca Cr Ge
1 2 1 1
Direct
0.000 0.000 0.000
0.000 0.500 0.000
0.500 0.000 0.000
0.500 0.500 0.500
0.000 0.000 0.500
```

Summary:
ΔH_f (0 K)	1529	meV/atom
space group	No. 123

3.
The following is a PBE-GGA calculation of crystalline CdAu2Se at its relaxed geometry, from the Alexandria database.

Structure (POSCAR):
```
CdAu2Se
1.0
2.921 0.000 0.000
0.000 3.888 0.000
-0.016 0.000 7.339
Cd Au Se
1 2 1
Direct
0.000 0.000 0.000
0.499 0.500 0.774
0.999 0.000 0.553
0.999 0.500 0.291
```

Summary:
space group	No. 6
relative energy among the computed polymorphs	0.011	eV/atom
formation energy (no corrections)	-0.025	eV/atom

4.
The following is a PBE-GGA calculation of crystalline SmTm3Pt at its relaxed geometry, from the Alexandria database.

Structure (POSCAR):
```
SmTm3Pt
1.0
7.333 0.000 0.000
0.000 4.686 0.000
-1.849 0.000 8.294
Sm Tm Pt
2 6 2
Direct
0.150 0.250 0.122
0.850 0.750 0.878
0.060 0.250 0.659
0.345 0.750 0.910
0.485 0.750 0.346
0.515 0.250 0.654
0.655 0.250 0.090
0.940 0.750 0.341
0.270 0.750 0.581
0.730 0.250 0.419
```

Summary:
ΔH_f (0 K)	-524	meV/atom
space group	No. 11
relative energy among the computed polymorphs	0.000	eV/atom

5.
The following is a PBE-GGA calculation of crystalline Ce2Sc3Ge4 at its relaxed geometry, from the Alexandria database.

Structure (POSCAR):
```
Ce2Sc3Ge4
1.0
7.557 0.000 0.000
0.000 7.526 0.000
-2.558 0.000 6.933
Ce Sc Ge
4 6 8
Direct
0.191 0.174 0.065
0.191 0.326 0.565
0.809 0.674 0.435
0.809 0.826 0.935
0.249 0.666 0.245
0.249 0.834 0.745
0.500 0.000 0.500
0.500 0.500 0.000
0.751 0.166 0.255
0.751 0.334 0.755
0.086 0.542 0.851
0.086 0.958 0.351
0.495 0.133 0.864
0.495 0.367 0.364
0.505 0.633 0.636
0.505 0.867 0.136
0.914 0.042 0.649
0.914 0.458 0.149
```

Summary:
ΔH_f (0 K)	-851	meV/atom
space group	No. 14

6.
The following is a PBE-GGA calculation of crystalline ZrWBr2 at its relaxed geometry, from the Alexandria database.

Structure (POSCAR):
```
ZrWBr2
1.0
0.000 3.485 3.485
3.485 0.000 3.485
3.485 3.485 0.000
Zr W Br
1 1 2
Direct
0.000 0.000 0.000
0.250 0.250 0.250
0.500 0.500 0.500
0.750 0.750 0.750
```

Summary:
space group	No. 216
relative energy among the computed polymorphs	1.034	eV/atom
formation energy (no corrections)	0.966	eV/atom

7.
The following is a PBE-GGA calculation of crystalline CsK5Rb5 at its relaxed geometry, from the Alexandria database.

Structure (POSCAR):
```
CsK5Rb5
1.0
11.093 -4.207 0.000
11.093 4.207 0.000
-2.069 0.000 10.502
Cs K Rb
1 5 5
Direct
0.000 0.000 0.000
0.194 0.194 0.372
0.212 0.212 0.891
0.500 0.500 0.000
0.788 0.788 0.109
0.806 0.806 0.628
0.000 0.000 0.500
0.373 0.373 0.671
0.382 0.382 0.262
0.618 0.618 0.738
0.627 0.627 0.329
```

Summary:
ΔH_f (0 K)	73	meV/atom
space group	No. 12

8.
The following is a PBE-GGA calculation of crystalline Fe3AgS at its relaxed geometry, from the Alexandria database.

Structure (POSCAR):
```
Fe3AgS
1.0
4.182 0.000 0.000
0.000 4.182 0.000
0.000 0.000 4.182
Fe Ag S
3 1 1
Direct
0.000 0.000 0.500
0.000 0.500 0.000
0.500 0.000 0.000
0.500 0.500 0.500
0.000 0.000 0.000
```

Summary:
space group	No. 221
relative energy among the computed polymorphs	0.000	eV/atom
formation energy (no corrections)	0.249	eV/atom

Please write out number 7 again, unchanged.
The following is a PBE-GGA calculation of crystalline CsK5Rb5 at its relaxed geometry, from the Alexandria database.

Structure (POSCAR):
```
CsK5Rb5
1.0
11.093 -4.207 0.000
11.093 4.207 0.000
-2.069 0.000 10.502
Cs K Rb
1 5 5
Direct
0.000 0.000 0.000
0.194 0.194 0.372
0.212 0.212 0.891
0.500 0.500 0.000
0.788 0.788 0.109
0.806 0.806 0.628
0.000 0.000 0.500
0.373 0.373 0.671
0.382 0.382 0.262
0.618 0.618 0.738
0.627 0.627 0.329
```

Summary:
ΔH_f (0 K)	73	meV/atom
space group	No. 12